The following is a DFT calculation (PBE) of a geometry-optimized Cs2CaAg2Cl7 structure.

Cell and atoms, written as extended XYZ:
```
12
Lattice="-1.633 3.202 3.997 -3.855 -3.709 0.524 4.069 -7.033 11.392" Properties=species:S:1:pos:R:3 pbc="T T T"
Cs -3.211 -2.943 7.911
Cs 1.793 -4.597 8.002
Ca 0.000 0.000 0.000
Ag 0.245 -6.007 11.797
Ag -1.664 -1.533 4.116
Cl -2.744 -0.254 2.260
Cl -0.272 -2.825 5.795
Cl -1.147 -4.715 10.118
Cl -3.136 -0.048 5.977
Cl -4.059 -2.921 4.534
Cl 2.641 -4.620 11.379
Cl 1.717 -7.492 9.936
```

## Properties
Formation energy (no corrections) in eV/atom: -1.349
Energy in eV per atom: -3.210
V in Å³/f.u.: 379.1


The following is a DFT calculation (PBE) of a geometry-optimized BaIrRu structure.

Cell and atoms, written as extended XYZ:
```
6
Lattice="-1.612 0.855 4.305 2.782 -3.348 1.707 5.119 4.750 0.974" Properties=species:S:1:pos:R:3 pbc="T T T"
Ir 2.429 3.429 2.768
Ir 3.274 0.074 1.212
Ba -0.009 1.167 2.304
Ba 5.712 2.336 1.676
Ru 3.144 1.128 3.493
Ru 2.559 2.375 0.487
```

## Properties
Offset from the most stable computed form in eV per atom: 0.000
Energy in eV per atom: -6.534
V in Å³/f.u.: 77.1
ΔE_f in eV per atom: 0.15


- Which value of energy does entry 1 give?
  -3.210 eV per atom


- Among the records above, which one has the lowest V?
  BaIrRu


Please write out number 1 again, unchanged.
The following is a DFT calculation (PBE) of a geometry-optimized Cs2CaAg2Cl7 structure.

Cell and atoms, written as extended XYZ:
```
12
Lattice="-1.633 3.202 3.997 -3.855 -3.709 0.524 4.069 -7.033 11.392" Properties=species:S:1:pos:R:3 pbc="T T T"
Cs -3.211 -2.943 7.911
Cs 1.793 -4.597 8.002
Ca 0.000 0.000 0.000
Ag 0.245 -6.007 11.797
Ag -1.664 -1.533 4.116
Cl -2.744 -0.254 2.260
Cl -0.272 -2.825 5.795
Cl -1.147 -4.715 10.118
Cl -3.136 -0.048 5.977
Cl -4.059 -2.921 4.534
Cl 2.641 -4.620 11.379
Cl 1.717 -7.492 9.936
```

## Properties
Formation energy (no corrections) in eV/atom: -1.349
Energy in eV per atom: -3.210
V in Å³/f.u.: 379.1


- Which value of energy does entry 2 give?
  -6.534 eV per atom